(1)
Below is Ac3BiRu after structural relaxation, with properties calculated at the PBE-GGA level.

Energy relative to the lowest polymorph listed for this composition in meV/atom: 0.0
Formation enthalpy at 0 K in eV per atom: -0.516

Cell lengths 4.6466, 9.3281, 16.4143 Å; angles 90.00, 90.00, 90.00 degrees
With the nearest neighbours (Å) after each atom.
Fractional positions:
Ac 0.7500 0.9732 0.8956  3 Ru 3.01
Ac 0.7500 0.2044 0.2892  1 Ru 2.74
Ac 0.7500 0.8421 0.4974  2 Ru 3.04
Ac 0.2500 0.2956 0.7892  1 Ru 2.74
Ac 0.7500 0.3421 0.0026  2 Ru 3.04
Ac 0.2500 0.1579 0.5026  2 Ru 3.04
Ac 0.2500 0.7956 0.7108  1 Ru 2.74
Ac 0.7500 0.4732 0.6044  3 Ru 3.01
Ac 0.7500 0.7044 0.2108  1 Ru 2.74
Ac 0.2500 0.6579 0.9974  2 Ru 3.04
Ac 0.2500 0.0268 0.1044  3 Ru 3.01
Ac 0.2500 0.5268 0.3956  3 Ru 3.01
Ru 0.7500 0.3357 0.4383  6 Ac 2.74-3.04
Ru 0.2500 0.1643 0.9383  6 Ac 2.74-3.04
Ru 0.7500 0.8357 0.0617  6 Ac 2.74-3.04
Ru 0.2500 0.6643 0.5617  6 Ac 2.74-3.04
Bi 0.7500 0.0783 0.6752  9 Ac 3.56-3.86
Bi 0.7500 0.5783 0.8248  9 Ac 3.56-3.86
Bi 0.2500 0.4217 0.1752  9 Ac 3.56-3.86
Bi 0.2500 0.9217 0.3248  9 Ac 3.56-3.86



(2)
Below is AcBi3Ru after structural relaxation, with properties calculated at the PBE-GGA level.

Formation enthalpy at 0 K in eV per atom: 0.042

Cell lengths 5.3960, 5.3960, 5.3960 Å; angles 90.00, 90.00, 90.00 degrees
With the nearest neighbours (Å) after each atom.
Fractional positions:
Bi 0.5000 0.0000 0.0000  2 Ru 2.70
Bi 0.0000 0.0000 0.5000  2 Ru 2.70
Bi 0.0000 0.5000 0.0000  2 Ru 2.70
Ru 0.0000 0.0000 0.0000  6 Bi 2.70
Ac 0.5000 0.5000 0.5000  12 Bi 3.82



(3)
Below is Ac4Bi2Ru after structural relaxation, with properties calculated at the PBE-GGA level.

Energy relative to the lowest polymorph listed for this composition in meV/atom: 0.0
Formation enthalpy at 0 K in eV per atom: -0.547

Cell lengths 5.4607, 5.4607, 9.8354 Å; angles 106.12, 106.12, 90.00 degrees
With the nearest neighbours (Å) after each atom.
Fractional positions:
Ru 0.0000 0.0000 0.0000  4 Ac 2.73
Ac 0.1702 0.1702 0.3403  1 Ru 3.08, 1 Bi 3.44
Ac 0.8298 0.8298 0.6597  1 Ru 3.08, 1 Bi 3.44
Ac 0.0000 0.5000 0.0000  2 Ru 2.73
Ac 0.5000 0.0000 0.0000  2 Ru 2.73
Bi 0.3604 0.3604 0.7207  5 Ac 3.44-3.72
Bi 0.6396 0.6396 0.2793  5 Ac 3.44-3.72



(4)
Below is Ac6Bi2Ru after structural relaxation, with properties calculated at the PBE-GGA level.

Formation enthalpy at 0 K in eV per atom: -0.468

Cell lengths 7.2139, 8.7246, 11.3007 Å; angles 90.00, 93.35, 90.00 degrees
With the nearest neighbours (Å) after each atom.
Fractional positions:
Bi 0.4158 0.1129 0.2515  8 Ac 3.45-3.84
Bi 0.9158 0.3871 0.7515  8 Ac 3.45-3.84
Bi 0.5842 0.8871 0.7485  8 Ac 3.45-3.84
Bi 0.0842 0.6129 0.2485  8 Ac 3.45-3.84
Ac 0.3426 0.8246 0.4563  1 Ru 2.97
Ac 0.1480 0.3133 0.4597  1 Ru 2.98
Ac 0.8426 0.6754 0.9563  1 Ru 2.97
Ac 0.3520 0.8133 0.0403  1 Ru 2.98
Ac 0.1574 0.3246 0.0437  1 Ru 2.97
Ac 0.8520 0.6867 0.5403  1 Ru 2.98
Ac 0.3798 0.5210 0.7545  1 Ru 2.86
Ac 0.8798 0.9790 0.2545  1 Ru 2.86
Ac 0.1202 0.0210 0.7455  1 Ru 2.86
Ac 0.6574 0.1754 0.5437  1 Ru 2.97
Ac 0.6202 0.4790 0.2455  1 Ru 2.86
Ac 0.6480 0.1867 0.9597  1 Ru 2.98
Ru 0.0000 0.0000 0.5000  6 Ac 2.86-2.98
Ru 0.5000 0.5000 0.0000  6 Ac 2.86-2.98



(5)
Below is Ac3BiRu after structural relaxation, with properties calculated at the PBE-GGA level.

Energy relative to the lowest polymorph listed for this composition in meV/atom: 207.5
Formation enthalpy at 0 K in eV per atom: -0.309

Cell lengths 7.7848, 7.7845, 8.6928 Å; angles 62.80, 62.77, 60.02 degrees
With the nearest neighbours (Å) after each atom.
Fractional positions:
Bi 0.6652 0.7920 0.7927  9 Ac 3.66-3.93
Bi 0.4453 0.5717 0.4612  9 Ac 3.68-3.94
Ac 0.9615 0.6047 0.3941  2 Ru 2.81-2.82
Ac 0.4782 0.0885 0.3943  2 Ru 2.81-2.82
Ac 0.1419 0.7703 0.8569  2 Ru 2.89-3.13
Ac 0.1433 0.2707 0.8548  2 Ru 2.89-3.08
Ac 0.9631 0.0889 0.3913  2 Ru 2.82-2.85
Ac 0.6434 0.2684 0.8570  2 Ru 2.89-3.13
Ru 0.8811 0.0077 0.1490  6 Ac 2.81-3.13
Ru 0.0600 0.1867 0.6094  6 Ac 2.82-2.89



(6)
Below is Ac4Bi2Ru after structural relaxation, with properties calculated at the PBE-GGA level.

Energy relative to the lowest polymorph listed for this composition in meV/atom: 13.2
Formation enthalpy at 0 K in eV per atom: -0.533

Cell lengths 7.1930, 7.3700, 10.3474 Å; angles 90.00, 109.90, 90.00 degrees
With the nearest neighbours (Å) after each atom.
Fractional positions:
Ac 0.1257 0.7500 0.4241  1 Ru 2.72
Ac 0.4728 0.9996 0.2348  1 Ru 2.76
Ac 0.5272 0.0004 0.7652  1 Ru 2.76
Ac 0.4728 0.5004 0.2348  1 Ru 2.76
Ac 0.5272 0.4996 0.7652  1 Ru 2.76
Ac 0.0812 0.7500 0.8803  1 Ru 2.87
Ac 0.8743 0.2500 0.5759  1 Ru 2.72
Ac 0.9188 0.2500 0.1197  1 Ru 2.87
Bi 0.2549 0.2500 0.9296  1 Ru 2.86
Bi 0.7151 0.7500 0.5439  8 Ac 3.55-3.84
Bi 0.7451 0.7500 0.0704  1 Ru 2.86
Bi 0.2849 0.2500 0.4561  8 Ac 3.55-3.84
Ru 0.1686 0.7500 0.1725  4 Ac 2.72-2.87, 1 Bi 2.86
Ru 0.8314 0.2500 0.8275  4 Ac 2.72-2.87, 1 Bi 2.86